No. 1
Material: BaY3C
Method: DFT, PBE-GGA
State: optimized geometry

Summary:
Excess energy over the best structure of this formula in the dataset = 2.293 eV per atom
Final energy = -18.37 eV per cell
Energy of formation = 12.17 eV/f.u.
Size of the total moment = 1.22 μB/cell
Volume = 36.31 A^3/atom

Cell: 5.663 5.663 5.663 Å, 90.00 90.00 90.00°
Atoms (fractional coordinates):
1 Ba 0.000 0.000 0.000
2 Y 0.000 0.000 0.500
3 Y 0.000 0.500 0.000
4 Y 0.500 0.000 0.000
5 C 0.500 0.500 0.500

No. 2
Material: BaY3C
Method: DFT, PBE-GGA
State: optimized geometry

Summary:
Excess energy over the best structure of this formula in the dataset = 0.000 eV per atom
Final energy = -29.84 eV per cell
Energy of formation = 0.70 eV/f.u.
Size of the total moment = 0.00 μB/cell
Volume = 27.96 A^3/atom

Cell: 5.190 5.190 5.190 Å, 90.00 90.00 90.00°
Atoms (fractional coordinates):
1 Ba 0.000 0.000 0.000
2 Y 0.000 0.500 0.500
3 Y 0.500 0.000 0.500
4 Y 0.500 0.500 0.000
5 C 0.500 0.500 0.500